Entry 1:
Computed, not measured: crystalline ZrCuAs2Os at its relaxed geometry at the PBE-GGA level of DFT.

Computed properties:
The calculated formation energy comes out at 1.59 eV per atom. The total magnetic moment comes out at 2.72 μB/cell.

a b c (Å): 5.0601 4.7675 5.0601
angles (deg): 90.00 90.00 90.00
Closest atoms and distances in Å follow each position.
Element x y z (fractional)
1 Zr 0.0000 0.0000 0.0000  2 Cu 2.38, 4 As 2.53
2 Cu 0.0000 0.5000 0.0000  2 Zr 2.38
3 As 0.5000 0.0000 0.0000  2 Zr 2.53
4 As 0.0000 0.0000 0.5000  2 Zr 2.53
5 Os 0.5000 0.5000 0.5000  8 As 3.48, 4 Cu 3.58



Entry 2:
Computed, not measured: crystalline Cu3As2P8 at its relaxed geometry at the PBE-GGA level of DFT.

Computed properties:
The calculated formation energy comes out at 0.04 eV per atom. The total magnetic moment comes out at 0.00 μB/cell.

a b c (Å): 6.3891 5.8287 9.4750
angles (deg): 115.51 59.13 125.09
Closest atoms and distances in Å follow each position.
Element x y z (fractional)
1 P 0.6928 0.6346 0.4024  2 P 2.18-2.31, 1 As 2.40, 1 Cu 2.41
2 P 0.2879 0.9487 0.5327  2 P 2.18-2.19, 1 Cu 2.43
3 P 0.6852 0.5757 0.8889  1 P 2.21, 2 Cu 2.32-2.34, 1 As 2.38
4 P 0.3148 0.4243 0.1111  1 P 2.21, 2 Cu 2.32-2.34, 1 As 2.38
5 P 0.8784 0.2714 0.9633  1 P 2.18, 2 Cu 2.32-2.43, 1 As 2.36
6 P 0.7121 0.0513 0.4673  2 P 2.18-2.19, 1 Cu 2.43
7 P 0.3072 0.3654 0.5976  2 P 2.18-2.31, 1 As 2.40, 1 Cu 2.41
8 P 0.1216 0.7286 0.0367  1 P 2.18, 2 Cu 2.32-2.43, 1 As 2.36
9 Cu 0.8227 0.2223 0.7154  4 P 2.32-2.43, 1 As 2.53
10 Cu 0.0000 0.0000 0.0000  4 P 2.32-2.34
11 Cu 0.1773 0.7777 0.2846  4 P 2.32-2.43, 1 As 2.53
12 As 0.5144 0.7358 0.7970  3 P 2.36-2.40, 1 Cu 2.53
13 As 0.4856 0.2642 0.2030  3 P 2.36-2.40, 1 Cu 2.53